Record 1
A geometry-optimized CaCo3H6 structure. Source: Alexandria, functional GGA-PBE.

Cell lengths 4.5676, 4.5676, 12.2199 Å; angles 90.00, 90.00, 120.00 degrees
Last column: nearest neighbours and their distance in Å.
Space group R3 (No. 146, hexagonal axes)
One atom of each set of equivalent atoms:
Ca  0.0000  0.0000  0.0000  9 H 2.26-2.41
Co  0.0000  0.0000  0.2274  6 H 1.70-1.78
Co  0.0000  0.0000  0.5469  6 H 1.76-1.77
Co  0.0000  0.0000  0.7592  6 H 1.67-1.82
H  0.0239  0.3340  0.8233  3 Co 1.67-1.77
H  0.1699  0.8134  0.3164  3 Co 1.76-1.82

Output
Crystal system: trigonal
E, hartree per atom: -0.1625

=====

Record 2
A geometry-optimized Sr2ZrIr structure. Source: Alexandria, functional GGA-PBE.

Cell lengths 11.2079, 11.2079, 5.0042 Å; angles 90.00, 90.00, 90.00 degrees
Last column: nearest neighbours and their distance in Å.
Space group I-42d (No. 122)
One atom of each set of equivalent atoms:
Sr  0.0969  0.2500  0.1250  2 Ir 3.07
Zr  0.0000  0.0000  0.5000  2 Ir 2.50
Ir  0.0000  0.0000  0.0000  2 Zr 2.50

Output
Crystal system: tetragonal
Excess energy over the best structure of this formula in the dataset, meV per atom: 400
Energy of formation from the pure elements, eV per atom: 0.20
E, hartree per atom: -0.1834

=====

Record 3
A geometry-optimized Pu3Sn2Pd7 structure. Source: Alexandria, functional GGA-PBE.

Cell lengths 4.9388, 4.9508, 10.8389 Å; angles 90.00, 103.12, 90.00 degrees
Last column: nearest neighbours and their distance in Å.
Space group P2/m (No. 10)
One atom of each set of equivalent atoms:
Pu  0.0000  0.0000  0.0000  4 Pd 2.88-2.89
Pu  0.3615  0.5000  0.7236  8 Pd 2.86-3.13
Sn  0.1551  0.0000  0.3099  7 Pd 2.76-3.05
Pd  0.2135  0.5000  0.4268  2 Sn 2.77, 4 Pd 2.91-2.92, 2 Pu 2.94
Pd  0.2867  0.0000  0.5735  3 Sn 2.76-2.78, 5 Pd 2.92-3.01, 2 Pu 2.94
Pd  0.4297  0.0000  0.8587  4 Pu 2.86-2.89, 4 Pd 2.89-3.01, 2 Sn 3.04-3.05
Pd  0.5000  0.5000  0.0000  4 Pd 2.89, 2 Pu 2.92

Output
Crystal system: monoclinic
Energy of formation from the pure elements, eV per atom: -0.41
E, hartree per atom: -0.2825

=====

Record 4
A geometry-optimized Ca2TlBr structure. Source: Alexandria, functional GGA-PBE.

Cell lengths 4.4621, 4.4621, 12.9547 Å; angles 90.00, 90.00, 90.00 degrees
Last column: nearest neighbours and their distance in Å.
Space group I-4m2 (No. 119)
One atom of each set of equivalent atoms:
Ca  0.0000  0.0000  0.0000  4 Tl 3.16
Ca  0.0000  0.5000  0.2500  4 Br 3.16
Tl  0.0000  0.0000  0.5000  4 Ca 3.16
Br  0.0000  0.5000  0.7500  4 Ca 3.16

Output
Crystal system: tetragonal
Excess energy over the best structure of this formula in the dataset, meV per atom: 264
E, hartree per atom: -0.0980
Formation energy (no corrections), eV per atom: -0.657

=====

Record 5
A geometry-optimized GePb3Au3 structure. Source: Alexandria, functional GGA-PBE.

Cell lengths 7.4812, 12.3950, 7.7478 Å; angles 90.00, 100.74, 90.00 degrees
Last column: nearest neighbours and their distance in Å.
Space group C2/m (No. 12)
One atom of each set of equivalent atoms:
Ge  0.1704  0.0000  0.4724  3 Au 2.58-2.60, 1 Ge 2.66
Pb  0.0000  0.2547  0.5000  4 Au 3.00-3.15
Pb  0.0000  0.2974  0.0000  4 Au 2.91-3.17
Pb  0.1696  0.0000  0.8941  3 Au 2.95-3.12, 1 Pb 3.27, 1 Ge 3.27
Au  0.0284  0.5000  0.3026  1 Ge 2.58
Au  0.2093  0.1403  0.2330  1 Ge 2.60, 1 Pb 2.91

Output
Crystal system: monoclinic
Energy of formation from the pure elements, eV per atom: -0.03
E, hartree per atom: -0.1353

=====

Record 6
A geometry-optimized PmZn6Ga2 structure. Source: Alexandria, functional GGA-PBE.

Cell lengths 4.1452, 4.1452, 9.0015 Å; angles 90.00, 90.00, 90.00 degrees
Last column: nearest neighbours and their distance in Å.
Space group P4/mmm (No. 123)
One atom of each set of equivalent atoms:
Pm  0.0000  0.0000  0.0000  8 Ga 3.18, 8 Zn 3.42
Zn  0.0000  0.0000  0.5000  12 Zn 2.73-2.93
Zn  0.0000  0.5000  0.3021  2 Ga 2.55, 4 Zn 2.73
Zn  0.5000  0.5000  0.5000  12 Zn 2.73-2.93
Ga  0.5000  0.5000  0.1370  1 Ga 2.47, 4 Zn 2.55

Output
Crystal system: tetragonal
Energy of formation from the pure elements, eV per atom: -0.24
E, hartree per atom: -0.0840

=====

Record 7
A geometry-optimized BeH structure. Source: Alexandria, functional GGA-PBE.

Cell lengths 4.8098, 4.8098, 4.8098 Å; angles 90.00, 90.00, 90.00 degrees
Last column: nearest neighbours and their distance in Å.
Space group I-43m (No. 217)
One atom of each set of equivalent atoms:
Be  0.1817  0.1817  0.8183  4 H 1.47-1.58
H  0.1419  0.1419  0.1419  4 Be 1.47-1.58

Output
Crystal system: cubic
Excess energy over the best structure of this formula in the dataset, meV per atom: 553
E, hartree per atom: -0.1057

=====

Record 8
A geometry-optimized MnPd8Au6 structure. Source: Alexandria, functional GGA-PBE.

Cell lengths 7.6134, 7.6134, 5.0615 Å; angles 90.00, 90.00, 120.00 degrees
Last column: nearest neighbours and their distance in Å.
Space group P-3 (No. 147)
One atom of each set of equivalent atoms:
Mn  0.0000  0.0000  0.0000  6 Pd 2.43
Pd  0.0519  0.2704  0.3009  1 Mn 2.43, 1 Pd 2.69
Pd  0.3333  0.6667  0.2901  3 Pd 2.69, 3 Au 2.97
Au  0.1005  0.4621  0.7917  8 Pd 2.78-3.04, 3 Au 2.83-2.90

Output
Crystal system: trigonal
Energy of formation from the pure elements, eV per atom: 0.03
E, hartree per atom: -0.1711

=====

Copy entry 4 word for word.
A geometry-optimized Ca2TlBr structure. Source: Alexandria, functional GGA-PBE.

Cell lengths 4.4621, 4.4621, 12.9547 Å; angles 90.00, 90.00, 90.00 degrees
Last column: nearest neighbours and their distance in Å.
Space group I-4m2 (No. 119)
One atom of each set of equivalent atoms:
Ca  0.0000  0.0000  0.0000  4 Tl 3.16
Ca  0.0000  0.5000  0.2500  4 Br 3.16
Tl  0.0000  0.0000  0.5000  4 Ca 3.16
Br  0.0000  0.5000  0.7500  4 Ca 3.16

Output
Crystal system: tetragonal
Excess energy over the best structure of this formula in the dataset, meV per atom: 264
E, hartree per atom: -0.0980
Formation energy (no corrections), eV per atom: -0.657